(1)
DFT (PBE) results for a relaxed ZrTc crystal.

Formation enthalpy at 0 K, kJ per mole of atoms: -9.0
DOS(E_F), states/eV per atom: 1.134
Total DFT energy (no corrections), Ry per atom: -0.7019

abc: 6.554 6.554 6.554
angles: 90.00 90.00 90.00
Space group Fd-3m (No. 227, origin choice 2)
Inequivalent atoms, fractional coordinates:
Zr (0.125, 0.125, 0.125) (multiplicity 8)
Tc (0.125, 0.125, 0.625) (multiplicity 8)

(2)
DFT (PBE) results for a relaxed Ho4TmCd2 crystal.

Formation enthalpy at 0 K, kJ per mole of atoms: 21.5
DOS(E_F), states/eV per atom: 1.248
Total DFT energy (no corrections), Ry per atom: -0.2421

abc: 5.0962 5.0962 30.0401
angles: 90.00 90.00 120.00
Space group R-3m (No. 166, hexagonal axes)
Inequivalent atoms, fractional coordinates:
Ho (0.0000, 0.0000, 0.1083) (multiplicity 6)
Ho (0.0000, 0.0000, 0.2962) (multiplicity 6)
Tm (0.0000, 0.0000, 0.5000) (multiplicity 3)
Cd (0.0000, 0.0000, 0.3999) (multiplicity 6)

(3)
DFT (PBE) results for a relaxed PmPuCo2 crystal.

Formation enthalpy at 0 K, kJ per mole of atoms: 6.6
DOS(E_F), states/eV per atom: 2.226
Excess energy over the best structure of this formula in the dataset, meV/atom: 155
Total DFT energy (no corrections), Ry per atom: -0.6067

abc: 6.759 6.759 6.759
angles: 90.00 90.00 90.00
Space group Fm-3m (No. 225)
Inequivalent atoms, fractional coordinates:
Pm (0.000, 0.000, 0.000) (multiplicity 4)
Pu (0.000, 0.000, 0.500) (multiplicity 4)
Co (0.250, 0.250, 0.250) (multiplicity 8)

(4)
DFT (PBE) results for a relaxed IrRu crystal.

Formation enthalpy at 0 K, kJ per mole of atoms: -5.3
DOS(E_F), states/eV per atom: 0.550
Excess energy over the best structure of this formula in the dataset, meV/atom: 0
Total DFT energy (no corrections), Ry per atom: -0.6706

abc: 4.363 2.738 4.751
angles: 90.00 90.00 90.00
Space group Pmma (No. 51)
Inequivalent atoms, fractional coordinates:
Ir (0.250, 0.000, 0.168) (multiplicity 2)
Ru (0.250, 0.500, 0.666) (multiplicity 2)